[1]
First-principles (PBE) data for an optimized crystal structure of Dy2Ho4Hg, as listed in the Alexandria database.

Calculated values
As for the space group: C2/m, No. 12.

Geometry as POSCAR:
```
Dy2Ho4Hg
1.0
16.6104 0.0000 0.0000
0.0000 3.5663 0.0000
-3.6764 0.0000 7.1902
Dy Ho Hg
4 8 2
Cartesian
3.0413 0.0000 0.8949
1.5875 1.7832 6.2953
11.3465 1.7832 0.8949
9.8927 0.0000 6.2953
-1.7442 1.7832 5.3113
0.6922 0.0000 3.3927
3.9367 1.7832 3.7975
6.3731 0.0000 1.8789
6.5610 0.0000 5.3113
8.9974 1.7832 3.3927
12.2419 0.0000 3.7975
14.6783 1.7832 1.8789
0.0000 0.0000 0.0000
8.3052 1.7832 0.0000
```

[2]
First-principles (PBE) data for an optimized crystal structure of Dy8Ho2Hg, as listed in the Alexandria database.

Calculated values
As for the space group: Immm, No. 71.

Geometry as POSCAR:
```
Dy8Ho2Hg
1.0
-2.7189 3.6971 8.6148
2.7189 -3.6971 8.6148
2.7189 3.6971 -8.6148
Dy Ho Hg
8 2 1
Cartesian
2.7189 1.9465 -2.3325
0.0000 0.0000 3.1949
0.0000 1.8804 0.0000
2.7189 1.9465 2.3325
0.0000 1.7506 6.2823
0.0000 5.5139 0.0000
0.0000 0.0000 14.0346
0.0000 1.7506 10.9473
2.7189 0.0000 5.3033
0.0000 3.6971 3.3115
2.7189 0.0000 0.0000
```

[3]
First-principles (PBE) data for an optimized crystal structure of Dy3Ho4Hg4, as listed in the Alexandria database.

Calculated values
As for the space group: Immm, No. 71.

Geometry as POSCAR:
```
Dy3Ho4Hg4
1.0
-2.5893 3.5732 8.3545
2.5893 -3.5732 8.3545
2.5893 3.5732 -8.3545
Dy Ho Hg
3 4 4
Cartesian
0.0000 0.0000 0.0000
2.5893 0.0000 6.6589
0.0000 3.5732 1.6956
2.5893 1.6755 -2.9838
2.5893 1.6755 2.9838
0.0000 1.8977 5.3707
0.0000 1.8977 11.3384
0.0000 0.0000 3.0625
2.5893 2.0825 0.0000
0.0000 1.4907 8.3545
0.0000 0.0000 13.6466
```

[4]
First-principles (PBE) data for an optimized crystal structure of Dy2HoHg4, as listed in the Alexandria database.

Calculated values
The value obtained for the energy above the lowest structure with this stoichiometry is 0.0 meV per atom. As for the space group: R-3m, No. 166.

Geometry as POSCAR:
```
Dy2HoHg4
1.0
2.5405 1.4668 8.6722
-2.5405 1.4668 8.6722
0.0000 -2.9335 8.6722
Dy Ho Hg
2 1 4
Cartesian
0.0000 0.0000 6.3644
0.0000 0.0000 19.6521
0.0000 0.0000 0.0000
0.0000 0.0000 3.2932
0.0000 0.0000 9.7462
0.0000 0.0000 16.2703
0.0000 0.0000 22.7233
```

[5]
First-principles (PBE) data for an optimized crystal structure of DyHo2Hg3, as listed in the Alexandria database.

Calculated values
As for the space group: P4/mmm, No. 123.

Geometry as POSCAR:
```
DyHo2Hg3
1.0
3.7205 0.0000 0.0000
0.0000 3.7205 0.0000
0.0000 0.0000 11.0923
Dy Ho Hg
1 2 3
Cartesian
0.0000 0.0000 0.0000
0.0000 0.0000 3.7019
0.0000 0.0000 7.3903
1.8602 1.8602 1.8639
1.8602 1.8602 5.5461
1.8602 1.8602 9.2284
```

[6]
First-principles (PBE) data for an optimized crystal structure of DyHo3Hg2, as listed in the Alexandria database.

Calculated values
The value obtained for the energy above the lowest structure with this stoichiometry is 264.1 meV per atom. As for the space group: Ibam, No. 72.

Geometry as POSCAR:
```
DyHo3Hg2
1.0
-3.5260 7.1874 3.7323
3.5260 -7.1874 3.7323
3.5260 7.1874 -3.7323
Dy Ho Hg
2 6 4
Cartesian
0.0000 0.0000 0.0000
0.0000 0.0000 3.7323
3.5260 3.9104 -1.8661
3.5260 0.0000 1.8661
0.0000 3.2769 1.8661
3.5260 3.9104 1.8661
0.0000 7.1874 1.8661
0.0000 3.2769 5.5984
4.9261 2.0168 0.0000
1.4002 5.1706 0.0000
2.1258 2.0168 3.7323
-1.4002 5.1706 3.7323
```

[7]
First-principles (PBE) data for an optimized crystal structure of Dy2Ho3Hg2, as listed in the Alexandria database.

Calculated values
The value obtained for the energy above the lowest structure with this stoichiometry is 140.4 meV per atom. As for the space group: Cmmm, No. 65.

Geometry as POSCAR:
```
Dy2Ho3Hg2
1.0
4.8336 0.0000 0.0000
0.0000 22.8985 0.0000
0.0000 0.0000 3.4820
Dy Ho Hg
4 6 4
Cartesian
0.0000 4.8085 0.0000
0.0000 18.0901 0.0000
2.4168 6.6408 0.0000
2.4168 16.2577 0.0000
0.0000 8.1837 1.7410
0.0000 11.4493 1.7410
0.0000 14.7148 1.7410
2.4168 0.0000 1.7410
2.4168 3.2655 1.7410
2.4168 19.6330 1.7410
0.0000 1.6276 0.0000
0.0000 21.2710 0.0000
2.4168 9.8217 0.0000
2.4168 13.0768 0.0000
```

[8]
First-principles (PBE) data for an optimized crystal structure of DyHo3Hg2, as listed in the Alexandria database.

Calculated values
The value obtained for the energy above the lowest structure with this stoichiometry is 0.0 meV per atom. As for the space group: Pmc2_1, No. 26.

Geometry as POSCAR:
```
DyHo3Hg2
1.0
5.0911 0.0000 0.0000
0.0000 9.1971 0.0000
0.0000 0.0000 7.0396
Dy Ho Hg
2 6 4
Cartesian
0.0000 0.5068 0.0000
0.0000 8.6903 3.5198
0.0000 2.9951 4.6062
0.0000 6.2020 1.0863
2.5456 1.6128 2.2151
2.5456 4.0914 6.8193
2.5456 5.1057 3.2995
2.5456 7.5842 5.7349
0.0000 3.2270 1.5625
0.0000 5.9701 5.0823
2.5456 1.3740 5.2574
2.5456 7.8231 1.7376
```

Number 1: calculated formation energy -0.06 eV/atom. Number 2: calculated formation energy 0.01 eV/atom. Number 3: calculated formation energy -0.25 eV/atom. Number 4: calculated formation energy -0.34 eV/atom. Number 5: calculated formation energy -0.48 eV/atom. Number 6: calculated formation energy -0.10 eV/atom. Number 7: calculated formation energy -0.10 eV/atom. Number 8: calculated formation energy -0.36 eV/atom.